# 1
Crystalline NpInTe2 at its relaxed geometry, computed with GGA-PBE.

Lattice parameters (Å, degrees): 3.8681 3.8681 7.7423 90.00 90.00 90.00
Last column: nearest neighbours and their distance in Å.
Fractional positions:
Np (0.5000, 0.5000, 0.0000)  8 Te 3.24
Te (0.0000, 0.0000, 0.7759)  4 Np 3.24, 1 Te 3.47, 4 In 3.47
Te (0.0000, 0.0000, 0.2241)  4 Np 3.24, 1 Te 3.47, 4 In 3.47
In (0.5000, 0.5000, 0.5000)  8 Te 3.47, 4 In 3.87, 2 Np 3.87

Calculated values
- ΔE_f (raw) (eV/atom) = -0.4489
- DOS at the Fermi energy (states/eV/f.u.) = 7.436
- uncorrected energy (eV/atom) = -5.940

---

# 2
Crystalline TlIrSBr2 at its relaxed geometry, computed with GGA-PBE.

Lattice parameters (Å, degrees): 5.8370 4.2890 5.8370 90.00 90.00 90.00
Last column: nearest neighbours and their distance in Å.
Fractional positions:
Tl (0.5000, 0.5000, 0.5000)  8 Br 3.62
Ir (0.0000, 0.5000, 0.0000)  2 S 2.14
S (0.0000, 0.0000, 0.0000)  2 Ir 2.14
Br (0.0000, 0.0000, 0.5000)  2 S 2.92
Br (0.5000, 0.0000, 0.0000)  2 S 2.92

Calculated values
- ΔE_f (raw) (eV/atom) = 0.2896
- DOS at the Fermi energy (states/eV/f.u.) = 3.489
- uncorrected energy (eV/atom) = -3.450

---

# 3
Crystalline ZnRe2Cl2 at its relaxed geometry, computed with GGA-PBE.

Lattice parameters (Å, degrees): 7.8163 7.8163 2.7352 90.00 90.00 90.00
Last column: nearest neighbours and their distance in Å.
Fractional positions:
Re (0.2059, 0.7059, 0.5000)  2 Cl 2.32
Re (0.7059, 0.7941, 0.5000)  2 Cl 2.32
Re (0.7941, 0.2941, 0.5000)  2 Cl 2.32
Re (0.2941, 0.2059, 0.5000)  2 Cl 2.32
Zn (0.0000, 0.0000, 0.0000)  2 Zn 2.74
Zn (0.5000, 0.5000, 0.0000)  2 Zn 2.74
Cl (0.3759, 0.8759, 0.0000)  2 Re 2.32
Cl (0.8759, 0.6241, 0.0000)  2 Re 2.32
Cl (0.6241, 0.1241, 0.0000)  2 Re 2.32
Cl (0.1241, 0.3759, 0.0000)  2 Re 2.32

Calculated values
- ΔE_f (raw) (eV/atom) = 1.3400
- DOS at the Fermi energy (states/eV/f.u.) = 3.807
- uncorrected energy (eV/atom) = -4.633

---

# 4
Crystalline BeAs2PBr at its relaxed geometry, computed with GGA-PBE.

Lattice parameters (Å, degrees): 4.6354 4.6354 4.4455 90.00 90.00 90.00
Last column: nearest neighbours and their distance in Å.
Fractional positions:
P (0.5000, 0.5000, 0.5000)  8 As 3.21, 4 Br 3.28
As (0.0000, 0.5000, 0.0000)  2 Be 2.32
As (0.5000, 0.0000, 0.0000)  2 Be 2.32
Br (0.0000, 0.0000, 0.5000)  2 Be 2.22
Be (0.0000, 0.0000, 0.0000)  2 Br 2.22, 4 As 2.32

Calculated values
- ΔE_f (raw) (eV/atom) = 0.7115
- DOS at the Fermi energy (states/eV/f.u.) = 2.975
- uncorrected energy (eV/atom) = -3.310

---

# 5
Crystalline AcLa3N3 at its relaxed geometry, computed with GGA-PBE.

Lattice parameters (Å, degrees): 3.7221 7.0878 12.8741 100.82 81.69 74.78
Last column: nearest neighbours and their distance in Å.
Fractional positions:
Ac (0.4329, 0.3987, 0.7356)  6 N 2.76-3.06
Ac (0.5671, 0.6013, 0.2644)  6 N 2.76-3.06
La (0.1911, 0.1737, 0.4442)  3 N 2.46-2.54
La (0.8089, 0.8263, 0.5558)  3 N 2.46-2.54
La (0.3387, 0.3020, 0.0206)  4 N 2.47-2.66
La (0.6613, 0.6980, 0.9794)  4 N 2.47-2.66
La (0.8762, 0.0461, 0.2014)  4 N 2.44-2.60
La (0.1238, 0.9539, 0.7986)  4 N 2.44-2.60
N (0.1600, 0.0596, 0.6203)  4 La 2.46-2.54
N (0.8400, 0.9404, 0.3797)  4 La 2.46-2.54
N (0.2455, 0.2824, 0.2267)  3 La 2.44-2.66
N (0.7545, 0.7176, 0.7733)  3 La 2.44-2.66
N (0.8887, 0.3378, 0.8848)  4 La 2.47-2.60, 2 Ac 2.76
N (0.1113, 0.6622, 0.1152)  4 La 2.47-2.60, 2 Ac 2.76

Calculated values
- ΔE_f (raw) (eV/atom) = -1.0012
- DOS at the Fermi energy (states/eV/f.u.) = 4.083
- uncorrected energy (eV/atom) = -7.268

---

# 6
Crystalline TbPrNdCd at its relaxed geometry, computed with GGA-PBE.

Lattice parameters (Å, degrees): 3.7017 3.7017 9.1149 90.00 90.00 90.00
Last column: nearest neighbours and their distance in Å.
Fractional positions:
Tb (0.5000, 0.5000, 0.3510)  4 Cd 3.25, 4 Pr 3.61
Pr (0.0000, 0.0000, 0.0775)  4 Tb 3.61, 4 Nd 3.68, 4 Pr 3.70
Nd (0.5000, 0.5000, 0.7939)  4 Cd 3.36, 4 Pr 3.68, 4 Nd 3.70
Cd (0.0000, 0.0000, 0.5622)  4 Tb 3.25, 4 Nd 3.36

Calculated values
- formation enthalpy at 0 K (eV/atom) = -0.15
- DOS at the Fermi energy (states/eV/f.u.) = 4.377
- uncorrected energy (eV/atom) = -3.925